Compound: Cd2MoSe
Source: Alexandria
Functional: PBE
Structure: optimized geometry

Output
- size of the total moment (μB/cell) = 0.00
- theoretical density (g/cm3) = 8.33
- offset from the most stable computed form (kJ per mole of atoms) = 47.8
- formation energy from raw total energies (kJ/mol of formula units) = 173

abc: 9.552 9.552 9.552
angles: 18.87 18.87 18.87
Sites, in units of the cell vectors:
Cd  0.998  0.998  0.998
Cd  0.502  0.502  0.502
Mo  0.250  0.250  0.250
Se  0.750  0.750  0.750



Compound: Cd2MoSe
Source: Alexandria
Functional: PBE
Structure: optimized geometry

Output
- size of the total moment (μB/cell) = 0.00
- theoretical density (g/cm3) = 7.50
- offset from the most stable computed form (kJ per mole of atoms) = 0.0
- formation energy from raw total energies (kJ/mol of formula units) = -18

abc: 10.736 10.736 10.736
angles: 16.64 16.64 16.64
Sites, in units of the cell vectors:
Cd  0.996  0.996  0.996
Cd  0.236  0.236  0.236
Se  0.774  0.774  0.774
Mo  0.494  0.494  0.494



Compound: Cd2MoSe
Source: Alexandria
Functional: PBE
Structure: optimized geometry

Output
- size of the total moment (μB/cell) = 2.00
- theoretical density (g/cm3) = 8.46
- offset from the most stable computed form (kJ per mole of atoms) = 45.5
- formation energy from raw total energies (kJ/mol of formula units) = 163

abc: 5.863 5.863 5.863
angles: 146.26 135.06 57.35
Each line ends with the local moment (μB).
Sites, in units of the cell vectors:
Cd  0.001  0.001  0.000  0.00
Cd  0.499  0.499  0.000  0.00
Mo  0.750  0.250  0.500  1.69
Se  0.250  0.750  0.500  0.03



Compound: Cd2MoSe
Source: Alexandria
Functional: PBE
Structure: optimized geometry

Output
- size of the total moment (μB/cell) = 0.86
- theoretical density (g/cm3) = 8.07
- offset from the most stable computed form (kJ per mole of atoms) = 54.4
- formation energy from raw total energies (kJ/mol of formula units) = 199

abc: 2.882 4.296 6.645
angles: 90.00 90.00 90.00
Each line ends with the local moment (μB).
Sites, in units of the cell vectors:
Se  0.500  0.500  0.750  -0.01
Cd  0.000  0.000  0.472  0.00
Cd  0.000  0.000  0.028  0.00
Mo  0.500  0.500  0.250  0.74



Q: Number 2 is which compound?
A: Cd2MoSe